This record from Alexandria via LeMat-Bulk describes a relaxed Nd3InN crystal. The functional is PBEsol.

Cell and atoms, written as CIF:
```
data_Nd3InN
_chemical_formula_sum 'Nd3 In1 N1'
_cell_length_a 4.969
_cell_length_b 4.969
_cell_length_c 4.969
_cell_angle_alpha 90.00
_cell_angle_beta 90.00
_cell_angle_gamma 90.00
_symmetry_space_group_name_H-M 'P m -3 m'
_symmetry_Int_Tables_number 221
_symmetry_space_group_name_Hall '-P 4 2 3'
loop_
_atom_site_label
_atom_site_type_symbol
_atom_site_fract_x
_atom_site_fract_y
_atom_site_fract_z
Nd1 Nd 0.000 0.000 0.500
In1 In 0.500 0.500 0.500
N1 N 0.000 0.000 0.000
```

Its raw formation energy is -0.95 eV/atom.

=====

This record from Alexandria via LeMat-Bulk describes a relaxed K3Nb4Mo4P12O48 crystal. The functional is PBEsol.

Cell and atoms, written as CIF:
```
data_K3Nb4Mo4P12O48
_chemical_formula_sum 'K3 Nb4 Mo4 P12 O48'
_cell_length_a 8.924
_cell_length_b 12.477
_cell_length_c 9.181
_cell_angle_alpha 90.00
_cell_angle_beta 90.17
_cell_angle_gamma 90.00
_symmetry_space_group_name_H-M 'P 1 m 1'
_symmetry_Int_Tables_number 6
_symmetry_space_group_name_Hall 'P -2y'
loop_
_atom_site_label
_atom_site_type_symbol
_atom_site_fract_x
_atom_site_fract_y
_atom_site_fract_z
K1 K 0.000 0.000 0.000
K2 K 0.096 0.500 0.829
K3 K 0.440 0.000 0.501
Nb1 Nb 0.470 0.350 0.702
Nb2 Nb 0.976 0.350 0.204
Mo1 Mo 0.470 0.146 0.153
Mo2 Mo 0.977 0.146 0.652
P1 P 0.196 0.245 0.928
P2 P 0.250 0.243 0.428
P3 P 0.617 0.382 0.053
P4 P 0.634 0.119 0.817
P5 P 0.813 0.119 0.317
P6 P 0.830 0.381 0.553
O1 O 0.003 0.000 0.658
O2 O 0.015 0.500 0.193
O3 O 0.094 0.319 0.020
O4 O 0.099 0.170 0.835
O5 O 0.152 0.316 0.331
O6 O 0.156 0.168 0.523
O7 O 0.289 0.321 0.831
O8 O 0.291 0.173 0.026
O9 O 0.347 0.316 0.527
O10 O 0.351 0.172 0.335
O11 O 0.430 0.500 0.694
O12 O 0.439 0.000 0.158
O13 O 0.520 0.307 0.143
O14 O 0.531 0.186 0.721
O15 O 0.564 0.500 0.102
O16 O 0.584 0.000 0.767
O17 O 0.593 0.372 0.890
O18 O 0.608 0.129 0.980
O19 O 0.646 0.126 0.290
O20 O 0.665 0.370 0.590
O21 O 0.785 0.373 0.087
O22 O 0.801 0.131 0.791
O23 O 0.838 0.134 0.480
O24 O 0.852 0.372 0.390
O25 O 0.869 0.000 0.273
O26 O 0.882 0.500 0.604
O27 O 0.911 0.187 0.217
O28 O 0.935 0.311 0.644
```

Its raw formation energy is -2.23 eV/atom.

=====

This record from Alexandria via LeMat-Bulk describes a relaxed Li2ReOs crystal. The functional is PBEsol.

Cell and atoms, written as CIF:
```
data_Li2ReOs
_chemical_formula_sum 'Li4 Re2 Os2'
_cell_length_a 4.959
_cell_length_b 8.905
_cell_length_c 2.523
_cell_angle_alpha 90.00
_cell_angle_beta 90.00
_cell_angle_gamma 90.00
_symmetry_space_group_name_H-M 'C m m m'
_symmetry_Int_Tables_number 65
_symmetry_space_group_name_Hall '-C 2 2'
loop_
_atom_site_label
_atom_site_type_symbol
_atom_site_fract_x
_atom_site_fract_y
_atom_site_fract_z
Li1 Li 0.250 0.250 0.000
Re1 Re 0.000 0.000 0.500
Os1 Os 0.000 0.500 0.500
```

Its energy above the most stable polymorph in this dataset is 267 meV/atom. Its formation energy is 0.433 eV/atom.

=====

This record from Alexandria via LeMat-Bulk describes a relaxed Sn3IrF crystal. The functional is PBEsol.

Cell and atoms, written as CIF:
```
data_Sn3IrF
_chemical_formula_sum 'Sn3 Ir1 F1'
_cell_length_a 4.659
_cell_length_b 4.659
_cell_length_c 4.659
_cell_angle_alpha 90.00
_cell_angle_beta 90.00
_cell_angle_gamma 90.00
_symmetry_space_group_name_H-M 'P m -3 m'
_symmetry_Int_Tables_number 221
_symmetry_space_group_name_Hall '-P 4 2 3'
loop_
_atom_site_label
_atom_site_type_symbol
_atom_site_fract_x
_atom_site_fract_y
_atom_site_fract_z
Sn1 Sn 0.000 0.000 0.500
Ir1 Ir 0.500 0.500 0.500
F1 F 0.000 0.000 0.000
```

Its raw formation energy is 0.10 eV/atom.

=====

This record from Alexandria via LeMat-Bulk describes a relaxed SrMg2W crystal. The functional is PBEsol.

Cell and atoms, written as CIF:
```
data_SrMg2W
_chemical_formula_sum 'Sr2 Mg4 W2'
_cell_length_a 3.942
_cell_length_b 4.995
_cell_length_c 9.590
_cell_angle_alpha 90.00
_cell_angle_beta 90.00
_cell_angle_gamma 90.00
_symmetry_space_group_name_H-M 'I m m m'
_symmetry_Int_Tables_number 71
_symmetry_space_group_name_Hall '-I 2 2'
loop_
_atom_site_label
_atom_site_type_symbol
_atom_site_fract_x
_atom_site_fract_y
_atom_site_fract_z
Sr1 Sr 0.000 0.000 0.000
Mg1 Mg 0.000 0.500 0.228
W1 W 0.000 0.000 0.500
```

Its energy above the most stable polymorph in this dataset is 117 meV/atom. Its formation energy is 0.912 eV/atom.

=====

This record from Alexandria via LeMat-Bulk describes a relaxed Y5Ge3 crystal. The functional is PBEsol.

Cell and atoms, written as CIF:
```
data_Y5Ge3
_chemical_formula_sum 'Y10 Ge6'
_cell_length_a 8.4142
_cell_length_b 8.4142
_cell_length_c 6.3294
_cell_angle_alpha 90.00
_cell_angle_beta 90.00
_cell_angle_gamma 120.00
_symmetry_space_group_name_H-M 'P 63/m c m'
_symmetry_Int_Tables_number 193
_symmetry_space_group_name_Hall '-P 6c 2'
loop_
_atom_site_label
_atom_site_type_symbol
_atom_site_fract_x
_atom_site_fract_y
_atom_site_fract_z
Y1 Y 0.0000 0.2422 0.2500
Y2 Y 0.3333 0.6667 0.0000
Ge1 Ge 0.0000 0.3944 0.7500
```

Its formation energy is -0.881 eV/atom.

=====

This record from Alexandria via LeMat-Bulk describes a relaxed YZr2P crystal. The functional is PBEsol.

Cell and atoms, written as CIF:
```
data_YZr2P
_chemical_formula_sum 'Y2 Zr4 P2'
_cell_length_a 4.145
_cell_length_b 4.145
_cell_length_c 9.472
_cell_angle_alpha 90.00
_cell_angle_beta 90.00
_cell_angle_gamma 90.00
_symmetry_space_group_name_H-M 'I 4/m m m'
_symmetry_Int_Tables_number 139
_symmetry_space_group_name_Hall '-I 4 2'
loop_
_atom_site_label
_atom_site_type_symbol
_atom_site_fract_x
_atom_site_fract_y
_atom_site_fract_z
Y1 Y 0.000 0.000 0.000
Zr1 Zr 0.000 0.500 0.250
P1 P 0.000 0.000 0.500
```

Its formation energy is -0.347 eV/atom.

=====

This record from Alexandria via LeMat-Bulk describes a relaxed SrTa2Ag crystal. The functional is PBEsol.

Cell and atoms, written as CIF:
```
data_SrTa2Ag
_chemical_formula_sum 'Sr3 Ta6 Ag3'
_cell_length_a 3.2199
_cell_length_b 3.2199
_cell_length_c 29.2448
_cell_angle_alpha 90.00
_cell_angle_beta 90.00
_cell_angle_gamma 120.00
_symmetry_space_group_name_H-M 'R 3 m'
_symmetry_Int_Tables_number 160
_symmetry_space_group_name_Hall 'R 3 -2"'
loop_
_atom_site_label
_atom_site_type_symbol
_atom_site_fract_x
_atom_site_fract_y
_atom_site_fract_z
Sr1 Sr 0.0000 0.0000 0.0000
Ta1 Ta 0.0000 0.0000 0.4993
Ta2 Ta 0.0000 0.0000 0.7654
Ag1 Ag 0.0000 0.0000 0.2409
```

Its energy above the most stable polymorph in this dataset is 0 meV/atom. Its formation energy is 0.648 eV/atom.

=====

This record from Alexandria via LeMat-Bulk describes a relaxed YAg2 crystal. The functional is PBEsol.

Cell and atoms, written as CIF:
```
data_YAg2
_chemical_formula_sum 'Y4 Ag8'
_cell_length_a 3.753
_cell_length_b 13.832
_cell_length_c 4.793
_cell_angle_alpha 90.00
_cell_angle_beta 90.00
_cell_angle_gamma 90.00
_symmetry_space_group_name_H-M 'C m c m'
_symmetry_Int_Tables_number 63
_symmetry_space_group_name_Hall '-C 2c 2'
loop_
_atom_site_label
_atom_site_type_symbol
_atom_site_fract_x
_atom_site_fract_y
_atom_site_fract_z
Y1 Y 0.000 0.097 0.250
Ag1 Ag 0.000 0.233 0.750
Ag2 Ag 0.000 0.426 0.250
```

Its formation energy is -0.247 eV/atom.

=====

This record from Alexandria via LeMat-Bulk describes a relaxed LiTi2Cd crystal. The functional is PBEsol.

Cell and atoms, written as CIF:
```
data_LiTi2Cd
_chemical_formula_sum 'Li4 Ti8 Cd4'
_cell_length_a 7.437
_cell_length_b 7.437
_cell_length_c 4.943
_cell_angle_alpha 90.00
_cell_angle_beta 90.00
_cell_angle_gamma 90.00
_symmetry_space_group_name_H-M 'I -4 2 d'
_symmetry_Int_Tables_number 122
_symmetry_space_group_name_Hall 'I -4 2bw'
loop_
_atom_site_label
_atom_site_type_symbol
_atom_site_fract_x
_atom_site_fract_y
_atom_site_fract_z
Li1 Li 0.000 0.000 0.000
Ti1 Ti 0.238 0.250 0.125
Cd1 Cd 0.000 0.000 0.500
```

Its formation energy is 0.425 eV/atom.

=====

This record from Alexandria via LeMat-Bulk describes a relaxed LiLa2Sc crystal. The functional is PBEsol.

Cell and atoms, written as CIF:
```
data_LiLa2Sc
_chemical_formula_sum 'Li3 La6 Sc3'
_cell_length_a 3.4605
_cell_length_b 3.4605
_cell_length_c 33.3594
_cell_angle_alpha 90.00
_cell_angle_beta 90.00
_cell_angle_gamma 120.00
_symmetry_space_group_name_H-M 'R -3 m'
_symmetry_Int_Tables_number 166
_symmetry_space_group_name_Hall '-R 3 2"'
loop_
_atom_site_label
_atom_site_type_symbol
_atom_site_fract_x
_atom_site_fract_y
_atom_site_fract_z
Li1 Li 0.0000 0.0000 0.0000
La1 La 0.0000 0.0000 0.2480
Sc1 Sc 0.0000 0.0000 0.5000
```

Its energy above the most stable polymorph in this dataset is 0 meV/atom. Its formation energy is 0.094 eV/atom.

=====

This record from Alexandria via LeMat-Bulk describes a relaxed AgTeO3 crystal. The functional is PBEsol.

Cell and atoms, written as CIF:
```
data_AgTeO3
_chemical_formula_sum 'Ag4 Te4 O12'
_cell_length_a 5.430
_cell_length_b 7.432
_cell_length_c 6.860
_cell_angle_alpha 90.00
_cell_angle_beta 101.16
_cell_angle_gamma 90.00
_symmetry_space_group_name_H-M 'P 1 21/m 1'
_symmetry_Int_Tables_number 11
_symmetry_space_group_name_Hall '-P 2yb'
loop_
_atom_site_label
_atom_site_type_symbol
_atom_site_fract_x
_atom_site_fract_y
_atom_site_fract_z
Ag1 Ag 0.000 0.000 0.000
Ag2 Ag 0.426 0.250 0.175
Te1 Te 0.000 0.000 0.500
Te2 Te 0.480 0.750 0.318
O1 O 0.107 0.750 0.564
O2 O 0.237 0.014 0.325
O3 O 0.259 0.065 0.729
O4 O 0.332 0.750 0.049
```

Its raw formation energy is -0.71 eV/atom.

=====

Total moment per entry: 0.00; 10.07; 0.00; 0.00; 2.25; 0.00; 0.00; 0.47; 0.00; 0.00; 0.00; 0.00 μB/f.u.